# 1
# Sm3Si3Tc

Crystalline Sm3Si3Tc at its relaxed geometry (PBE, Alexandria via LeMat-Bulk).

Cell: 5.890 5.890 13.966 Å, 110.05 110.05 42.47°
Fractional positions:
1 Sm 0.021 0.021 0.374
2 Sm 0.104 0.104 0.920
3 Sm 0.248 0.248 0.229
4 Sm 0.752 0.752 0.771
5 Sm 0.896 0.896 0.080
6 Sm 0.979 0.979 0.626
7 Si 0.360 0.360 0.458
8 Si 0.393 0.393 0.926
9 Si 0.442 0.442 0.763
10 Si 0.558 0.558 0.237
11 Si 0.607 0.607 0.074
12 Si 0.640 0.640 0.542
13 Tc 0.257 0.257 0.587
14 Tc 0.743 0.743 0.413

Properties
Energy relative to the elements, uncorrected = -16.45 kcal/mol of atoms
M_tot = 0.0001 μB/atom
SG = No. 12

=====

# 2
# YSeO2F

Crystalline YSeO2F at its relaxed geometry (PBE, Alexandria via LeMat-Bulk).

Cell: 4.484 4.484 4.224 Å, 90.00 90.00 90.00°
Fractional positions:
1 Y 0.000 0.000 0.000
2 Se 0.500 0.500 0.500
3 O 0.000 0.500 0.000
4 O 0.500 0.000 0.000
5 F 0.000 0.000 0.500

Properties
Energy relative to the elements, uncorrected = -35.02 kcal/mol of atoms
M_tot = 0.0000 μB/atom
SG = No. 123

=====

# 3
# SrIn2NiPb

Crystalline SrIn2NiPb at its relaxed geometry (PBE, Alexandria via LeMat-Bulk).

Cell: 5.023 5.023 5.526 Å, 90.00 90.00 90.00°
Fractional positions:
1 Sr 0.000 0.000 0.000
2 In 0.000 0.500 0.500
3 In 0.500 0.000 0.500
4 Ni 0.000 0.000 0.500
5 Pb 0.500 0.500 0.000

Properties
M_tot = 0.0000 μB/atom
SG = No. 123
ΔE to the lowest computed polymorph = 16 meV/atom

=====

# 4
# TaSb2N

Crystalline TaSb2N at its relaxed geometry (PBE, Alexandria via LeMat-Bulk).

Cell: 6.027 6.027 6.027 Å, 116.75 116.75 95.72°
Fractional positions:
1 Ta 0.000 0.000 0.000
2 Ta 0.750 0.250 0.500
3 Sb 0.198 0.625 0.073
4 Sb 0.375 0.448 0.573
5 Sb 0.552 0.125 0.927
6 Sb 0.875 0.802 0.427
7 N 0.250 0.750 0.500
8 N 0.500 0.500 0.000

Properties
Energy relative to the elements, uncorrected = 19.27 kcal/mol of atoms
M_tot = 0.0000 μB/atom
SG = No. 122

=====

Q: Which of these has the highest M_tot?
A: Sm3Si3Tc

=====

Copy entry 4 word for word.
# TaSb2N

Crystalline TaSb2N at its relaxed geometry (PBE, Alexandria via LeMat-Bulk).

Cell: 6.027 6.027 6.027 Å, 116.75 116.75 95.72°
Fractional positions:
1 Ta 0.000 0.000 0.000
2 Ta 0.750 0.250 0.500
3 Sb 0.198 0.625 0.073
4 Sb 0.375 0.448 0.573
5 Sb 0.552 0.125 0.927
6 Sb 0.875 0.802 0.427
7 N 0.250 0.750 0.500
8 N 0.500 0.500 0.000

Properties
Energy relative to the elements, uncorrected = 19.27 kcal/mol of atoms
M_tot = 0.0000 μB/atom
SG = No. 122

=====

Q: What is the M_tot in the second record?
A: 0.0000 μB/atom

=====

Q: M_tot of number 2 (YSeO2F)?
A: 0.0000 μB/atom